Model a:
A plane-wave DFT calculation with PBE was carried out for a relaxed BeGaF2 crystal.

Results
SG: Fm-3m, No. 225
Total magnetic moment: 0.24 μB/atom

Cell lengths 4.212, 4.212, 4.212 Å; angles 60.00, 60.00, 60.00 degrees
Last column: magnetic moment on the atom in μB.
Element x y z (fractional)
Be1 0.000 0.000 0.000  0.30
Ga1 0.500 0.500 0.500  0.08
F1 0.250 0.250 0.250  0.08
F2 0.750 0.750 0.750  0.08



Model b:
A plane-wave DFT calculation with PBE was carried out for a relaxed BeGaF2 crystal.

Results
SG: R-3m, No. 166
Total magnetic moment: 0.06 μB/atom

Cell lengths 10.116, 10.116, 10.116 Å; angles 15.05, 15.05, 15.05 degrees
Last column: magnetic moment on the atom in μB.
Element x y z (fractional)
Be1 0.500 0.500 0.500  0.00
Ga1 0.000 0.000 0.000  0.10
F1 0.863 0.863 0.863  0.00
F2 0.137 0.137 0.137  0.00



Most stable structure, least stable structure: model b, model a.